(1)
The following is a GGA-PBE calculation of a geometry-optimized ErFePd structure, from the Open Quantum Materials Database.

CIF file:
```
data_ErFePd
_space_group_name_H-M_alt 'F -4 3 m'
_space_group_IT_number 216
_space_group_name_Hall 'F -4 2 3'
_cell_length_a 6.3320
_cell_length_b 6.3320
_cell_length_c 6.3320
_cell_angle_alpha 90.00
_cell_angle_beta 90.00
_cell_angle_gamma 90.00
loop_
_atom_site_label
_atom_site_fract_x
_atom_site_fract_y
_atom_site_fract_z
_atom_site_occupancy
Er1 0.0000 0.0000 0.0000 1
Fe1 0.2500 0.2500 0.7500 1
Pd1 0.2500 0.2500 0.2500 1
```

Output
**Energy of formation**: 44 kJ per mole of atoms
**Magnetic moment**: 9.467 μB per cell

(2)
The following is a GGA-PBE calculation of a geometry-optimized NaCuGeSe3 structure, from the Open Quantum Materials Database.

CIF file:
```
data_NaCuGeSe3
_space_group_name_H-M_alt 'C m c m'
_space_group_IT_number 63
_space_group_name_Hall '-C 2c 2'
_cell_length_a 3.6930
_cell_length_b 13.4506
_cell_length_c 10.5785
_cell_angle_alpha 90.00
_cell_angle_beta 90.00
_cell_angle_gamma 90.00
loop_
_atom_site_label
_atom_site_fract_x
_atom_site_fract_y
_atom_site_fract_z
_atom_site_occupancy
Na1 0.0000 0.2454 0.2500 1
Cu1 0.0000 0.0574 0.7500 1
Ge1 0.0000 0.5000 0.0000 1
Se1 0.0000 0.1357 0.5454 1
Se2 0.0000 0.4384 0.7500 1
```

Output
**VASP energy**: -3.710 eV/atom

(3)
The following is a GGA-PBE calculation of a geometry-optimized Sc2NiIr structure, from the Open Quantum Materials Database.

CIF file:
```
data_Sc2NiIr
_space_group_name_H-M_alt 'I 4/m m m'
_space_group_IT_number 139
_space_group_name_Hall '-I 4 2'
_cell_length_a 4.5375
_cell_length_b 4.5375
_cell_length_c 6.3745
_cell_angle_alpha 90.00
_cell_angle_beta 90.00
_cell_angle_gamma 90.00
loop_
_atom_site_label
_atom_site_fract_x
_atom_site_fract_y
_atom_site_fract_z
_atom_site_occupancy
Sc1 0.0000 0.5000 0.2500 1
Ni1 0.0000 0.0000 0.0000 1
Ir1 0.0000 0.0000 0.5000 1
```

Output
**Energy of formation**: -78 kJ per mole of atoms
**Magnetic moment**: 0.018 μB per cell